1.
{
  "formula": "GdCo4Pd",
  "functional": "PBE",
  "state": "optimized geometry",
  "formation_enthalpy_0k_ev_per_atom": -0.10,
  "magnetic_moment_mub_per_cell": 13.6,
  "cell": [[-0.5296, 0.8321, 4.8493], [-4.5144, 0.6475, 1.9208], [-1.9750, -3.4838, 2.9071]],
  "species": ["Gd", "Co", "Co", "Co", "Co", "Pd"],
  "frac_coords": [[0.2500, 0.2500, 0.2500], [0.6261, 0.6261, 0.1217], [0.6261, 0.1217, 0.6261], [0.6261, 0.6261, 0.6261], [0.1217, 0.6261, 0.6261], [0.0000, 0.0000, 0.0000]]
}

=====

2.
{
  "formula": "Ac8PrRh6",
  "functional": "PBE",
  "state": "optimized geometry",
  "formation_enthalpy_0k_ev_per_atom": -0.59,
  "magnetic_moment_mub_per_cell": 0.0,
  "cell": [[-7.2362, 1.6201, -1.1319], [-4.8300, -5.4547, -1.7853], [-5.8949, -2.8174, 8.7974]],
  "species": ["Ac", "Ac", "Ac", "Ac", "Ac", "Ac", "Ac", "Ac", "Pr", "Rh", "Rh", "Rh", "Rh", "Rh", "Rh"],
  "frac_coords": [[0.7751, 0.4422, 0.6743], [0.8916, 0.2249, 0.3257], [0.5578, 0.8916, 0.3257], [0.3333, 0.3333, 0.0000], [0.6667, 0.6667, 0.0000], [0.4422, 0.1084, 0.6743], [0.1084, 0.7751, 0.6743], [0.2249, 0.5578, 0.3257], [0.0000, 0.0000, 0.0000], [0.9407, 0.6111, 0.1778], [0.7296, 0.0593, 0.8222], [0.3889, 0.7296, 0.8222], [0.6111, 0.2704, 0.1778], [0.2704, 0.9407, 0.1778], [0.0593, 0.3889, 0.8222]]
}

=====

3.
{
  "formula": "Mg5Si6",
  "functional": "PBE",
  "state": "optimized geometry",
  "magnetic_moment_mub_per_cell": 0.0,
  "e_form_raw_ev_per_atom": 0.053,
  "cell": [[4.3287, -0.0254, -0.0102], [-0.1013, 6.7952, 0.0003], [-2.0827, -1.6614, 14.1568]],
  "species": ["Mg", "Mg", "Mg", "Mg", "Mg", "Mg", "Mg", "Mg", "Mg", "Mg", "Si", "Si", "Si", "Si", "Si", "Si", "Si", "Si", "Si", "Si", "Si", "Si"],
  "frac_coords": [[0.6336, 0.0021, 0.0202], [0.3818, 0.5063, 0.4959], [0.9673, 0.6987, 0.6378], [0.7861, 0.2809, 0.3458], [0.2051, 0.2332, 0.1644], [0.5624, 0.6067, 0.8838], [0.9089, 0.2111, 0.5709], [0.8419, 0.8027, 0.4150], [0.1685, 0.6936, 0.0906], [0.0969, 0.2786, 0.9489], [0.0821, 0.8622, 0.9204], [0.6488, 0.4104, 0.0532], [0.3223, 0.1163, 0.4374], [0.4408, 0.8999, 0.5551], [0.9992, 0.0110, 0.7774], [0.7316, 0.9359, 0.2041], [0.2729, 0.5636, 0.3031], [0.4719, 0.4317, 0.6899], [0.0095, 0.3766, 0.7725], [0.7282, 0.5748, 0.2131], [0.2743, 0.9210, 0.2878], [0.4694, 0.0791, 0.7093]]
}

=====

4.
{
  "formula": "LaCu8Pd3",
  "functional": "PBE",
  "state": "optimized geometry",
  "formation_enthalpy_0k_ev_per_atom": -0.16,
  "magnetic_moment_mub_per_cell": 0.0,
  "cell": [[-3.3548, -3.6386, -0.4277], [3.2899, 0.7854, -3.6383], [5.1774, -5.1921, 3.5608]],
  "species": ["La", "Cu", "Cu", "Cu", "Cu", "Cu", "Cu", "Cu", "Cu", "Pd", "Pd", "Pd"],
  "frac_coords": [[0.0000, 0.0000, 0.5677], [0.3333, 0.6667, 0.4973], [0.3333, 0.6667, 0.9992], [0.5033, 0.0066, 0.7660], [0.5033, 0.4967, 0.7660], [0.9934, 0.4967, 0.7660], [0.1653, 0.3306, 0.2378], [0.1653, 0.8347, 0.2378], [0.6694, 0.8347, 0.2378], [0.6667, 0.3333, 0.4130], [0.6667, 0.3333, 0.0632], [0.0000, 0.0000, 0.9483]]
}

=====

5.
{
  "formula": "TbDy2Y2Tm4",
  "functional": "PBE",
  "state": "optimized geometry",
  "formation_enthalpy_0k_ev_per_atom": 0.09,
  "magnetic_moment_mub_per_cell": 0.0,
  "cell": [[-6.1054, 1.5159, -2.2435], [-7.6060, 0.2390, 6.0180], [5.0928, 4.1985, 0.7601]],
  "species": ["Tb", "Dy", "Dy", "Y", "Y", "Tm", "Tm", "Tm", "Tm"],
  "frac_coords": [[0.0000, 0.0000, 0.0000], [0.8188, 0.4450, 0.0408], [0.1812, 0.5550, 0.9592], [0.2674, 0.6612, 0.5976], [0.7326, 0.3388, 0.4024], [0.7318, 0.8807, 0.1874], [0.6123, 0.7669, 0.5031], [0.2682, 0.1193, 0.8126], [0.3877, 0.2331, 0.4969]]
}

=====

6.
{
  "formula": "Na2NpRhS4",
  "functional": "PBE",
  "state": "optimized geometry",
  "magnetic_moment_mub_per_cell": 3.4,
  "e_form_raw_ev_per_atom": -1.023,
  "cell": [[-1.4994, 3.5537, 0.2963], [-5.5798, -2.2616, -1.1105], [1.1537, -0.1030, 7.0744]],
  "species": ["Na", "Na", "Np", "Rh", "S", "S", "S", "S"],
  "frac_coords": [[0.5000, 0.0000, 0.5000], [0.0000, 0.5000, 0.5000], [0.5000, 0.5000, 0.0000], [0.0000, 0.0000, 0.0000], [0.5000, 0.2122, 0.2061], [0.5000, 0.7878, 0.7939], [0.0000, 0.2416, 0.7749], [0.0000, 0.7584, 0.2251]]
}

=====

7.
{
  "formula": "LiY2Hf",
  "functional": "PBE",
  "state": "optimized geometry",
  "formation_enthalpy_0k_ev_per_atom": 0.44,
  "magnetic_moment_mub_per_cell": 0.0,
  "cell": [[3.2398, 0.0000, 0.0000], [1.6199, 2.8057, 0.0000], [1.6199, 0.9352, 11.8324]],
  "species": ["Y", "Y", "Hf", "Li"],
  "frac_coords": [[0.0885, 0.0885, 0.7345], [0.9115, 0.9115, 0.2655], [0.0000, 0.0000, 0.0000], [0.5000, 0.5000, 0.5000]]
}

=====

8.
{
  "formula": "Y3NiW",
  "functional": "PBE",
  "state": "optimized geometry",
  "formation_enthalpy_0k_ev_per_atom": 0.70,
  "magnetic_moment_mub_per_cell": 0.0,
  "cell": [[5.0734, 0.0000, 0.0000], [0.0000, 5.0734, 0.0000], [0.0000, 0.0000, 5.0734]],
  "species": ["Y", "Y", "Y", "Ni", "W"],
  "frac_coords": [[0.0000, 0.5000, 0.0000], [0.0000, 0.0000, 0.5000], [0.5000, 0.0000, 0.0000], [0.0000, 0.0000, 0.0000], [0.5000, 0.5000, 0.5000]]
}

=====

Fermi-level density of states in states/eV per atom, matching the order above: 1.2192, 0.7124, 0.3267, 0.2979, 1.8464, 1.2463, 1.3074, 1.0317